TaV2Cd after structural relaxation. Source: Alexandria, functional PBE-GGA.

POSCAR file:
```
TaV2Cd
1.0
-0.9321 -6.7655 -2.1670
5.9274 0.4640 -3.9984
4.0040 -4.0405 -0.9528
Cd Ta V
2 2 4
Direct
0.5000 0.5000 0.0000 Cd
0.2500 0.7500 0.5000 Cd
0.0000 0.0000 0.0000 Ta
0.7500 0.2500 0.5000 Ta
0.6342 0.1250 0.2500 V
0.1158 0.6250 0.2500 V
0.3750 0.3658 0.7500 V
0.8750 0.8842 0.7500 V
```

Properties
- crystal system = tetragonal
- energy (eV per atom) = -6.88
- ΔE_f (eV per atom) = 0.873